## Pt3I8Cl2 (GGA-PBE)

Data for crystalline Pt3I8Cl2 at its relaxed geometry.

Output
* volume: 38.1 Å³ per atom
* formation energy (no corrections): -101 meV/atom
* N(E_F): 0.018 states/eV/atom

Lattice parameters (Å, degrees): 16.589 8.025 7.822 90.00 107.73 90.00
Space group C2/m (No. 12)
One atom of each set of equivalent atoms:
Pt 0.000 0.000 0.000 (multiplicity 2)
Pt 0.000 0.245 0.500 (multiplicity 4)
I 0.072 0.239 0.229 (multiplicity 8)
I 0.108 0.500 0.665 (multiplicity 4)
I 0.110 0.000 0.663 (multiplicity 4)
Cl 0.230 0.500 0.091 (multiplicity 4)